[1]
Tm4CdHg2Pd | Alexandria | GGA-PBE | relaxed; formation enthalpy at 0 K = -0.55 eV per atom; total magnetization = 0.00 μB per formula unit; symmetry = No. 166; E = -3.6238 eV/atom
1.0
2.568 1.483 8.332
-2.568 1.483 8.332
0.000 -2.966 8.332
Tm Cd Hg Pd
4 1 2 1
Cartesian
0.000 0.000 2.942
0.000 0.000 9.241
0.000 0.000 15.754
0.000 0.000 22.053
0.000 0.000 12.497
0.000 0.000 6.084
0.000 0.000 18.911
0.000 0.000 0.000

***

[2]
TmTeS4 | Alexandria | GGA-PBE | relaxed; total magnetization = 0.00 μB per formula unit; symmetry = No. 12; formation energy without anion corrections = -0.667 eV/atom; E = -4.6879 eV/atom
1.0
6.449 -1.903 0.000
6.449 1.903 0.000
-1.165 0.000 6.594
Tm Te S
1 1 4
Cartesian
0.000 0.000 0.000
5.867 0.000 3.297
1.076 0.000 2.516
4.806 0.000 0.962
6.927 0.000 5.632
10.657 0.000 4.078

***

[3]
CeZnAgIr | Alexandria | GGA-PBE | relaxed; formation enthalpy at 0 K = -0.23 eV per atom; total magnetization = 0.00 μB per formula unit; symmetry = No. 216; E = -4.9567 eV/atom
1.0
0.000 3.383 3.383
3.383 0.000 3.383
3.383 3.383 0.000
Ce Zn Ag Ir
1 1 1 1
Cartesian
0.000 0.000 0.000
3.383 3.383 3.383
5.075 5.075 5.075
1.692 1.692 1.692

***

[4]
Ba2Zn2Cd | Alexandria | GGA-PBE | relaxed; formation enthalpy at 0 K = -0.17 eV per atom; energy above the lowest structure with this stoichiometry = 0.0398 eV per atom; total magnetization = 0.00 μB per formula unit; symmetry = No. 127; E = -1.6309 eV/atom
1.0
8.527 0.000 0.000
0.000 8.527 0.000
0.000 0.000 4.599
Ba Zn Cd
4 4 2
Cartesian
1.629 2.634 0.000
2.634 6.898 0.000
5.893 1.629 0.000
6.898 5.893 0.000
0.909 5.172 2.300
3.355 0.909 2.300
5.172 7.618 2.300
7.618 3.355 2.300
0.000 0.000 2.300
4.264 4.264 2.300

***

[5]
Nb2IBr4 | Alexandria | GGA-PBE | relaxed; total magnetization = 5.00 μB per formula unit; symmetry = No. 43; formation energy without anion corrections = -0.454 eV/atom; E = -4.5089 eV/atom
1.0
0.000 9.254 3.464
6.568 0.000 3.464
6.568 9.254 0.000
Nb I Br
4 2 8
Cartesian
7.844 3.258 3.464
8.576 7.885 5.196
5.292 15.249 3.464
4.560 10.622 5.196
6.568 9.254 3.810
9.852 13.880 5.542
10.246 8.263 2.834
12.309 11.050 4.044
2.456 2.830 2.313
4.112 6.423 2.313
6.962 5.617 4.566
2.891 10.244 2.834
6.175 12.890 4.566
7.396 16.711 4.044

***

[6]
Pm3Ni2Hg4 | Alexandria | GGA-PBE | relaxed; formation enthalpy at 0 K = -0.35 eV per atom; total magnetization = 0.00 μB per formula unit; symmetry = No. 12; E = -3.3566 eV/atom
1.0
6.118 -2.053 0.000
6.118 2.053 0.000
-4.671 0.000 8.480
Pm Ni Hg
3 2 4
Cartesian
0.000 0.000 0.000
1.996 0.000 3.210
5.568 0.000 5.270
1.291 0.000 6.227
6.273 0.000 2.253
-1.460 0.000 2.910
-0.953 0.000 7.724
8.518 0.000 0.756
9.024 0.000 5.570

***

[7]
Tb2Hf3Ge4 | Alexandria | GGA-PBE | relaxed; formation enthalpy at 0 K = -0.82 eV per atom; total magnetization = 0.00 μB per formula unit; symmetry = No. 14; E = -7.2236 eV/atom
1.0
7.410 0.000 0.000
0.000 7.395 0.000
-2.450 0.000 6.797
Tb Hf Ge
4 6 8
Cartesian
1.238 1.269 0.429
0.013 2.428 3.827
4.947 4.967 2.969
3.722 6.126 6.368
1.260 4.975 1.685
0.036 6.118 5.083
2.480 0.000 3.398
3.705 3.698 0.000
4.924 1.277 1.714
3.700 2.420 5.112
-1.462 3.969 5.803
-0.237 7.123 2.404
1.513 0.991 5.860
2.738 2.706 2.461
2.222 4.689 4.336
3.447 6.404 0.937
5.197 0.272 4.393
6.422 3.426 0.994

***

[8]
CaCo4Se2 | Alexandria | GGA-PBE | relaxed; total magnetization = 4.62 μB per formula unit; symmetry = No. 139; formation energy without anion corrections = 1.095 eV/atom; E = -4.2474 eV/atom
1.0
-2.187 2.187 7.467
2.187 -2.187 7.467
2.187 2.187 -7.467
Ca Co Se
1 4 2
Cartesian
0.000 0.000 0.000
2.187 0.000 0.000
0.000 0.000 3.784
0.000 2.187 0.000
0.000 0.000 11.149
0.000 0.000 6.020
0.000 0.000 8.913

***

[9]
La7Cd2Os2 | Alexandria | GGA-PBE | relaxed; formation enthalpy at 0 K = -0.16 eV per atom; total magnetization = 0.00 μB per formula unit; symmetry = No. 44; E = -5.5054 eV/atom
1.0
-2.009 8.003 5.319
2.009 -8.003 5.319
2.009 8.003 -5.319
La Cd Os
7 2 2
Cartesian
0.000 0.000 0.000
2.009 5.627 -0.961
2.009 3.052 1.371
0.000 2.376 4.357
0.000 5.753 2.901
0.000 10.253 2.901
0.000 4.951 6.690
2.009 0.000 2.827
0.000 0.000 6.736
2.009 -4.668 4.650
2.009 4.668 4.650

***

[10]
InGeI5 | Alexandria | GGA-PBE | relaxed; total magnetization = 0.00 μB per formula unit; symmetry = No. 15; formation energy without anion corrections = -0.363 eV/atom; E = -2.5206 eV/atom
1.0
5.822 -5.844 0.000
5.822 5.844 0.000
-5.426 0.000 9.905
In Ge I
2 2 10
Cartesian
1.753 4.396 7.429
4.466 -4.396 2.476
5.822 0.000 0.000
3.109 0.000 4.952
-2.232 0.432 8.385
2.787 3.024 5.250
0.481 -0.432 3.432
0.719 3.024 9.608
4.466 0.868 2.476
1.753 -0.868 7.429
5.500 -3.024 0.297
5.738 0.432 6.472
3.432 -3.024 4.655
8.451 -0.432 1.520

***

[11]
Cs3La2ZrSe6 | Alexandria | GGA-PBE | relaxed; total magnetization = 0.57 μB per formula unit; symmetry = No. 12; formation energy without anion corrections = -1.600 eV/atom; E = -5.0896 eV/atom
1.0
3.748 -6.492 0.000
3.748 6.492 0.000
-2.509 0.000 8.391
Cs La Zr Se
3 2 1 6
Cartesian
0.000 0.000 0.000
3.748 2.216 0.000
3.748 -2.216 0.000
2.494 4.334 4.196
2.494 -4.334 4.196
2.494 0.000 4.196
1.335 2.009 2.622
0.175 0.000 5.786
1.335 -2.009 2.622
3.653 2.009 5.769
4.813 0.000 2.605
3.653 -2.009 5.769

***

[12]
AlReSb2 | Alexandria | GGA-PBE | relaxed; total magnetization = 0.00 μB per formula unit; symmetry = No. 44; formation energy without anion corrections = 0.442 eV/atom; E = -5.6666 eV/atom
1.0
-1.587 2.212 6.157
1.587 -2.212 6.157
1.587 2.212 -6.157
Al Re Sb
1 1 2
Cartesian
0.000 0.000 0.000
1.587 0.000 2.329
0.000 0.000 4.597
0.000 2.212 1.892

***

[13]
Ba2Tl2Pd3 | Alexandria | GGA-PBE | relaxed; formation enthalpy at 0 K = -0.40 eV per atom; energy above the lowest structure with this stoichiometry = 0.0000 eV per atom; total magnetization = 0.00 μB per formula unit; symmetry = No. 12; E = -3.8555 eV/atom
1.0
6.343 -2.193 0.000
6.343 2.193 0.000
-3.233 0.000 6.849
Ba Tl Pd
2 2 3
Cartesian
0.625 0.000 1.934
8.828 0.000 4.915
-0.367 0.000 5.362
9.820 0.000 1.486
5.004 0.000 0.524
4.727 0.000 3.424
4.449 0.000 6.325

***

[14]
Zn2IrRh | Alexandria | GGA-PBE | relaxed; formation enthalpy at 0 K = -0.06 eV per atom; total magnetization = 0.01 μB per formula unit; symmetry = No. 160; E = -4.7493 eV/atom
1.0
1.378 0.795 8.801
-1.378 0.795 8.801
0.000 -1.591 8.801
Zn Ir Rh
2 1 1
Cartesian
0.000 0.000 0.000
0.000 0.000 6.505
0.000 0.000 19.783
0.000 0.000 13.166

***

[15]
ScCo4Ge2 | Alexandria | GGA-PBE | relaxed; formation enthalpy at 0 K = -0.37 eV per atom; total magnetization = 0.00 μB per formula unit; symmetry = No. 136; E = -6.6557 eV/atom
1.0
7.089 0.000 0.000
0.000 7.089 0.000
0.000 0.000 3.693
Sc Co Ge
2 8 4
Cartesian
0.000 0.000 0.000
3.544 3.544 1.846
0.592 2.496 1.846
1.048 4.136 0.000
2.496 0.592 1.846
2.953 6.041 0.000
4.136 1.048 0.000
4.593 6.497 1.846
6.041 2.953 0.000
6.497 4.593 1.846
1.568 5.521 1.846
1.976 1.976 0.000
5.112 5.112 0.000
5.521 1.568 1.846

***

[16]
AgIrI3 | Alexandria | GGA-PBE | relaxed; energy above the lowest structure with this stoichiometry = 0.0000 eV per atom; total magnetization = 0.00 μB per formula unit; symmetry = No. 221; formation energy without anion corrections = 0.471 eV/atom; E = -2.8010 eV/atom
1.0
5.446 0.000 0.000
0.000 5.446 0.000
0.000 0.000 5.446
Ag Ir I
1 1 3
Cartesian
0.000 0.000 0.000
2.723 2.723 2.723
0.000 2.723 2.723
2.723 0.000 2.723
2.723 2.723 0.000

***

[17]
TlGaO2 | Alexandria | GGA-PBE | relaxed; energy above the lowest structure with this stoichiometry = 0.1863 eV per atom; total magnetization = 0.00 μB per formula unit; symmetry = No. 160; formation energy without anion corrections = -1.219 eV/atom; E = -5.0465 eV/atom
1.0
1.637 0.945 7.994
-1.637 0.945 7.994
0.000 -1.890 7.994
Tl Ga O
1 1 2
Cartesian
0.000 0.000 0.000
0.000 0.000 12.643
0.000 0.000 4.052
0.000 0.000 14.438

***

[18]
LiNdF4 | Alexandria | GGA-PBE | relaxed; total magnetization = 0.00 μB per formula unit; symmetry = No. 8; formation energy without anion corrections = -3.669 eV/atom; E = -6.0297 eV/atom
1.0
2.850 -2.778 0.000
2.850 2.778 0.000
-1.190 0.000 5.264
Li Nd F
1 1 4
Cartesian
0.000 0.000 0.000
2.266 0.000 2.625
0.943 1.463 3.943
3.591 1.461 1.306
0.943 -1.463 3.943
3.591 -1.461 1.306

***

[19]
LaTa2Se | Alexandria | GGA-PBE | relaxed; total magnetization = 0.00 μB per formula unit; symmetry = No. 119; formation energy without anion corrections = 0.285 eV/atom; E = -7.7442 eV/atom
1.0
-2.343 2.343 3.886
2.343 -2.343 3.886
2.343 2.343 -3.886
La Ta Se
1 2 1
Cartesian
0.000 0.000 0.000
0.000 0.000 3.886
0.000 2.343 1.943
2.343 0.000 1.943

***

[20]
LiHo8Ru5 | Alexandria | GGA-PBE | relaxed; formation enthalpy at 0 K = -0.22 eV per atom; total magnetization = 0.00 μB per formula unit; symmetry = No. 82; E = -6.2828 eV/atom
1.0
-4.312 4.312 4.240
4.312 -4.312 4.240
4.312 4.312 -4.240
Li Ho Ru
1 8 5
Cartesian
0.000 0.000 0.000
2.841 0.562 0.467
4.935 2.674 -1.402
3.750 -1.471 3.774
-0.624 1.638 2.839
2.674 3.688 1.402
0.562 5.782 -0.467
1.638 0.624 5.642
1.471 3.750 4.707
2.155 2.955 -1.216
5.668 2.155 1.216
2.156 1.356 3.024
0.000 4.312 2.120
-1.356 2.156 5.457